(1)
Crystalline AlCdSi2 at its relaxed geometry. Source: Alexandria, functional PBE.

Cell lengths 3.097, 3.097, 7.409 Å; angles 90.00, 90.00, 90.00 degrees
Fractional coordinates of all 4 atoms:
Al (0.000, 0.000, 0.000)
Cd (0.500, 0.500, 0.294)
Si (0.000, 0.000, 0.592)
Si (0.500, 0.500, 0.776)

Computed properties:
* density: 4.6 Mg/m³
* distance to the lowest polymorph of the same formula: 33 meV/atom
* E_form (uncorrected): 0.33 eV/atom

---

(2)
Crystalline AlCd2Si at its relaxed geometry. Source: Alexandria, functional PBE.

Cell lengths 5.272, 5.272, 5.272 Å; angles 131.90, 131.90, 70.39 degrees
Fractional coordinates of all 4 atoms:
Al (0.000, 0.000, 0.000)
Cd (0.250, 0.750, 0.500)
Cd (0.500, 0.500, 0.000)
Si (0.750, 0.250, 0.500)

Computed properties:
* density: 5.8 Mg/m³
* distance to the lowest polymorph of the same formula: 111 meV/atom
* E_form (uncorrected): 0.31 eV/atom

---

(3)
Crystalline AlCd2Si at its relaxed geometry. Source: Alexandria, functional PBE.

Cell lengths 2.872, 5.414, 5.196 Å; angles 90.00, 96.56, 90.00 degrees
Fractional coordinates of all 4 atoms:
Al (0.000, 0.000, 0.000)
Cd (0.267, 0.500, 0.249)
Cd (0.733, 0.500, 0.751)
Si (0.500, 0.000, 0.500)

Computed properties:
* density: 5.8 Mg/m³
* distance to the lowest polymorph of the same formula: 94 meV/atom
* E_form (uncorrected): 0.29 eV/atom

---

(4)
Crystalline AlCd2Si at its relaxed geometry. Source: Alexandria, functional PBE.

Cell lengths 4.854, 4.854, 4.854 Å; angles 60.00, 60.00, 60.00 degrees
Fractional coordinates of all 4 atoms:
Al (0.000, 0.000, 0.000)
Cd (0.250, 0.250, 0.250)
Cd (0.500, 0.500, 0.500)
Si (0.750, 0.750, 0.750)

Computed properties:
* density: 5.7 Mg/m³
* distance to the lowest polymorph of the same formula: 177 meV/atom
* E_form (uncorrected): 0.38 eV/atom